# 1
Material: Sr2NdPt9
Method: DFT, PBE
State: optimized geometry

magnetization: 0.000 Bohr magnetons per cell
E_form: -0.78 eV/atom
SG: R-3m, No. 166

abc: 9.5501 9.5501 9.5501
angles: 33.38 33.38 33.38
Fractional positions:
1 Sr 0.1417 0.1417 0.1417
2 Sr 0.8583 0.8583 0.8583
3 Nd 0.0000 0.0000 0.0000
4 Pt 0.0809 0.5833 0.5833
5 Pt 0.3326 0.3326 0.3326
6 Pt 0.4167 0.4167 0.9191
7 Pt 0.4167 0.9191 0.4167
8 Pt 0.5000 0.5000 0.5000
9 Pt 0.5833 0.0809 0.5833
10 Pt 0.5833 0.5833 0.0809
11 Pt 0.6674 0.6674 0.6674
12 Pt 0.9191 0.4167 0.4167

***

# 2
Material: Be2ReSb2
Method: DFT, PBE
State: optimized geometry

magnetization: 0.000 Bohr magnetons per cell
polymorph energy (0 for the lowest one): 0 meV/atom
formation energy from raw total energies: 0.584 eV per atom
SG: P4/mbm, No. 127

abc: 6.6179 6.6179 3.5302
angles: 90.00 90.00 90.00
Fractional positions:
1 Be 0.1196 0.3804 0.0000
2 Be 0.3804 0.8804 0.0000
3 Be 0.6196 0.1196 0.0000
4 Be 0.8804 0.6196 0.0000
5 Re 0.0000 0.0000 0.0000
6 Re 0.5000 0.5000 0.0000
7 Sb 0.1830 0.6830 0.5000
8 Sb 0.3170 0.1830 0.5000
9 Sb 0.6830 0.8170 0.5000
10 Sb 0.8170 0.3170 0.5000

***

# 3
Material: TbNdDyMg
Method: DFT, PBE
State: optimized geometry

magnetization: 0.000 Bohr magnetons per cell
polymorph energy (0 for the lowest one): 77 meV/atom
E_form: 0.05 eV/atom
SG: F-43m, No. 216

abc: 5.5658 5.5658 5.5658
angles: 60.00 60.00 60.00
Fractional positions:
1 Tb 0.0000 0.0000 0.0000
2 Nd 0.2500 0.2500 0.2500
3 Dy 0.7500 0.7500 0.7500
4 Mg 0.5000 0.5000 0.5000

***

# 4
Material: DyAg3Cl7
Method: DFT, PBE
State: optimized geometry

magnetization: 0.000 Bohr magnetons per cell
formation energy from raw total energies: -1.053 eV per atom
SG: Cm, No. 8

abc: 7.1194 7.1194 7.3960
angles: 113.76 113.76 67.81
Fractional positions:
1 Dy 0.0000 0.0000 0.0000
2 Ag 0.3602 0.9725 0.6016
3 Ag 0.5630 0.5630 0.9743
4 Ag 0.9725 0.3602 0.6016
5 Cl 0.1963 0.6649 0.7292
6 Cl 0.2031 0.2031 0.9160
7 Cl 0.4136 0.8789 0.2410
8 Cl 0.6649 0.1963 0.7292
9 Cl 0.7344 0.7344 0.8033
10 Cl 0.8789 0.4136 0.2410
11 Cl 0.9645 0.9645 0.3320

***

# 5
Material: ZrMo2P
Method: DFT, PBE
State: optimized geometry

magnetization: 0.000 Bohr magnetons per cell
E_form: -0.18 eV/atom
SG: P4/mmm, No. 123

abc: 3.7417 3.7417 4.7139
angles: 90.00 90.00 90.00
Fractional positions:
1 Zr 0.0000 0.0000 0.0000
2 Mo 0.0000 0.5000 0.5000
3 Mo 0.5000 0.0000 0.5000
4 P 0.5000 0.5000 0.0000

***

# 6
Material: KFeNi2
Method: DFT, PBE
State: optimized geometry

magnetization: 3.995 Bohr magnetons per cell
polymorph energy (0 for the lowest one): 327 meV/atom
E_form: 0.77 eV/atom
SG: Imm2, No. 44

abc: 5.7997 5.7997 5.7997
angles: 154.24 128.37 58.57
Fractional positions:
1 K 0.0000 0.0000 0.0000
2 Fe 0.2982 0.7982 0.5000
3 Ni 0.5046 0.5046 0.0000
4 Ni 0.7097 0.2097 0.5000